An optimized crystal structure of NaAlB, computed with GGA-PBE.

The structure in extended XYZ format:
```
6
Lattice="5.704 -1.538 0.000 5.704 1.538 0.000 -0.211 0.000 6.016" Properties=species:S:1:pos:R:3 pbc="T T T"
Na 1.371 0.000 0.784
Na 9.827 0.000 5.232
Al 4.496 0.000 2.202
Al 6.702 0.000 3.815
B 2.532 0.000 3.202
B 8.666 0.000 2.814
```

**Density of states at the Fermi level**: 0.307 states/eV/atom
**Formation energy**: 0.1260 eV per atom
**Total DFT energy (no corrections)**: -3.79 eV/atom